Mg3InSb3 | PBE | relaxed

space-group type: R-3 (148)
formation energy from raw total energies: -0.168 eV per atom
total DFT energy (no corrections): -3.0094 eV per atom
DOS(E_F): 0.39 states/eV/atom

```
Mg3InSb3
1.0
7.8402 1.0884 3.6804
2.7669 7.4160 3.6804
1.3575 1.0884 8.5540
Sb Mg In
6 6 2
Direct
0.7280 0.0690 0.4401
0.2720 0.9310 0.5599
0.4401 0.7280 0.0690
0.5599 0.2720 0.9310
0.9310 0.5599 0.2720
0.0690 0.4401 0.7280
0.1940 0.5741 0.8690
0.5741 0.8690 0.1940
0.8060 0.4259 0.1310
0.8690 0.1940 0.5741
0.1310 0.8060 0.4259
0.4259 0.1310 0.8060
0.6660 0.6660 0.6660
0.3340 0.3340 0.3340
```


Ac2NpBi2N2 | PBE | relaxed

space-group type: C2/m (12)
formation energy from raw total energies: -1.033 eV per atom
total DFT energy (no corrections): -7.5426 eV per atom
DOS(E_F): 1.05 states/eV/atom

```
Ac2NpBi2N2
1.0
4.5226 0.0000 0.0000
2.2613 6.2756 0.0386
2.2613 2.4108 6.6451
Ac Bi N Np
2 2 2 1
Direct
0.2049 0.3452 0.2450
0.7951 0.6548 0.7550
0.4554 0.7641 0.3252
0.5446 0.2359 0.6748
0.8264 0.2729 0.0743
0.1736 0.7271 0.9257
0.0000 0.0000 0.0000
```


Pm6InTe3Pb2 | PBE | relaxed

space-group type: C2/m (12)
formation energy from raw total energies: -0.968 eV per atom
total DFT energy (no corrections): -4.9747 eV per atom
DOS(E_F): 0.52 states/eV/atom

```
Pm6InTe3Pb2
1.0
-1.7343 -3.7897 -1.6391
-3.0378 -2.1908 8.2794
-6.3948 7.0992 -3.5295
Pm Te Pb In
6 3 2 1
Direct
0.0014 0.7490 0.0027
0.3320 0.4228 0.6640
0.6680 0.5772 0.3360
0.3336 0.9183 0.6673
0.9986 0.2510 0.9973
0.6664 0.0817 0.3327
0.1679 0.8303 0.3358
0.5000 0.5000 0.0000
0.8321 0.1697 0.6642
0.8353 0.6722 0.6706
0.1647 0.3278 0.3294
0.5000 0.0000 0.0000
```


V2GeMoH | PBE | relaxed

space-group type: P4/mmm (123)
total DFT energy (no corrections): -7.5614 eV per atom
DOS(E_F): 0.51 states/eV/atom

```
V2GeMoH
1.0
3.8568 0.0000 0.0000
0.0000 3.8568 0.0000
0.0000 0.0000 3.9600
Ge Mo V H
1 1 2 1
Direct
0.5000 0.5000 0.5000
0.0000 0.0000 0.5000
0.5000 0.0000 0.0000
0.0000 0.5000 0.0000
0.0000 0.0000 0.0000
```